DFT (GGA-PBE) results for a geometry-optimized CsRbCo2Ag structure.

Unit cell a=5.193 b=5.193 c=6.260 alpha=90.00 beta=90.00 gamma=90.00
Fractional coordinates of all 5 atoms:
Cs 0.000 0.000 0.000
Rb 0.500 0.500 0.000
Co 0.000 0.500 0.500
Co 0.500 0.000 0.500
Ag 0.000 0.000 0.500

* space group: P4/mmm (123)
* raw total energy: -0.0966 hartree per atom
* N(E_F): 6.397 states/eV per cell
* total moment: 3.72 μB per formula unit